# KCdAs2, single point on PBEsol structure, DFT meta-GGA SCAN
data_KCdAs2
_chemical_formula_sum 'K1 Cd1 As2'
_symmetry_space_group_name_H-M 'P 1'
_symmetry_Int_Tables_number 1
_symmetry_space_group_name_Hall 'P 1'
_cell_length_a 3.183
_cell_length_b 3.183
_cell_length_c 8.931
_cell_angle_alpha 90.00
_cell_angle_beta 90.00
_cell_angle_gamma 90.00
loop_
_atom_site_label
_atom_site_type_symbol
_atom_site_fract_x
_atom_site_fract_y
_atom_site_fract_z
K1 K 0.500 0.500 0.500
Cd1 Cd 0.500 0.500 0.000
As1 As 0.000 0.000 0.217
As2 As 0.000 0.000 0.783
# calculated total energy: -79.1 eV per cell
# space-group type: P4/mmm (123)
# calculated density: 5.5 g cm⁻³
# volume: 22.6 A^3/atom